1.
# NbAu3N, relaxed, DFT PBE-GGA
# magnetization	0.559	μB per atom
# uncorrected formation energy	929	kJ/mol of formula units
# energy above the lowest structure with this stoichiometry	4.65	eV/f.u.
# uncorrected energy	-3.721	eV/atom
data_NbAu3N
_cell_length_a 5.208
_cell_length_b 5.208
_cell_length_c 5.208
_cell_angle_alpha 90.00
_cell_angle_beta 90.00
_cell_angle_gamma 90.00
_symmetry_space_group_name_H-M 'P m -3 m'
_symmetry_Int_Tables_number 221
_symmetry_space_group_name_Hall '-P 4 2 3'
loop_
_atom_site_label
_atom_site_type_symbol
_atom_site_fract_x
_atom_site_fract_y
_atom_site_fract_z
Nb1 Nb 0.000 0.000 0.000
Au1 Au 0.000 0.000 0.500
N1 N 0.500 0.500 0.500

---

2.
# NbAu3N, relaxed, DFT PBE-GGA
# magnetization	0.458	μB per atom
# uncorrected formation energy	479	kJ/mol of formula units
# energy above the lowest structure with this stoichiometry	0.00	eV/f.u.
# uncorrected energy	-4.652	eV/atom
data_NbAu3N
_cell_length_a 4.411
_cell_length_b 4.411
_cell_length_c 4.411
_cell_angle_alpha 90.00
_cell_angle_beta 90.00
_cell_angle_gamma 90.00
_symmetry_space_group_name_H-M 'P m -3 m'
_symmetry_Int_Tables_number 221
_symmetry_space_group_name_Hall '-P 4 2 3'
loop_
_atom_site_label
_atom_site_type_symbol
_atom_site_fract_x
_atom_site_fract_y
_atom_site_fract_z
Nb1 Nb 0.000 0.000 0.000
Au1 Au 0.000 0.500 0.500
N1 N 0.500 0.500 0.500